# PBE NbSb2TeRu, relaxed
# - Space group: P4/mmm
# - Raw total energy: -5.297 eV per atom
# - Theoretical density: 6.88 Mg/m³
# - Energy relative to the elements, uncorrected: 0.850 eV per atom
# - Energy relative to the lowest polymorph listed for this composition: 0.0000 eV per atom
data_NbSb2TeRu
_cell_length_a 4.9592
_cell_length_b 4.9592
_cell_length_c 5.5469
_cell_angle_alpha 90.00
_cell_angle_beta 90.00
_cell_angle_gamma 90.00
_space_group_name_H-M_alt 'P 1'
_space_group_IT_number 1
loop_
_space_group_symop_operation_xyz
'x,y,z'
loop_
_atom_site_label
_atom_site_type_symbol
_atom_site_fract_x
_atom_site_fract_y
_atom_site_fract_z
_atom_site_occupancy
Nb1 Nb 0.0000 0.0000 0.0000 1
Sb1 Sb 0.0000 0.5000 0.5000 1
Sb2 Sb 0.5000 0.0000 0.5000 1
Te1 Te 0.5000 0.5000 0.0000 1
Ru1 Ru 0.5000 0.5000 0.5000 1